Entry from the Alexandria database: an optimized crystal structure of InGaCl (PBE).

abc: 5.4947 5.4572 5.4572
angles: 111.59 90.00 90.00
Element x y z (fractional)
In  0.0000  0.1716  0.8284
In  0.0000  0.8284  0.1716
Ga  0.0000  0.4997  0.4997
Ga  0.5000  0.5388  0.5388
Cl  0.5000  0.0444  0.6780
Cl  0.5000  0.6780  0.0444

Formation energy (no corrections) = -1.2 eV per formula unit
Calculated volume = 25.4 Å³ per atom
Crystal system = orthorhombic
Space-group type = No. 38
ΔE to the lowest computed polymorph = 10 meV per atom